[1]
# KRb2CdGe

Crystalline KRb2CdGe at its relaxed geometry (GGA-PBE, Alexandria via LeMat-Bulk).

```
5
Lattice="7.129 0.000 0.000 0.000 7.129 0.000 0.000 0.000 5.198" Properties=species:S:1:pos:R:3 pbc="T T T"
K 0.000 0.000 0.000
Rb 0.000 3.565 2.599
Rb 3.565 0.000 2.599
Cd 3.565 3.565 0.000
Ge 3.565 3.565 2.599
```

Properties
The total DFT energy (no corrections) is -8.09 eV per cell. As for the space-group type: P4/mmm (123). The formation enthalpy at 0 K is 0.0958 eV per atom.

[2]
# KCdReGe2

Crystalline KCdReGe2 at its relaxed geometry (GGA-PBE, Alexandria via LeMat-Bulk).

```
5
Lattice="4.844 0.000 0.000 0.000 4.844 0.000 0.000 0.000 5.432" Properties=species:S:1:pos:R:3 pbc="T T T"
K 0.000 0.000 0.000
Cd 2.422 2.422 0.000
Re 2.422 2.422 2.716
Ge 0.000 2.422 2.716
Ge 2.422 0.000 2.716
```

Properties
The total DFT energy (no corrections) is -23.48 eV per cell. As for the space-group type: P4/mmm (123). The formation enthalpy at 0 K is 0.0427 eV per atom.